! RbPdRu2O8 (GGA-PBE, relaxed); values from VASP
&SYSTEM
  ibrav = 0, nat = 12, ntyp = 4
/
ATOMIC_SPECIES
Ru 101.07 Ru.upf
O 16.00 O.upf
Pd 106.42 Pd.upf
Rb 85.47 Rb.upf
ATOMIC_POSITIONS crystal
Ru 0.602 0.602 0.206
Ru 0.398 0.398 0.794
O 0.244 0.736 0.191
O 0.264 0.756 0.809
O 0.756 0.264 0.809
O 0.246 0.246 0.974
O 0.312 0.312 0.615
O 0.736 0.244 0.191
O 0.754 0.754 0.026
O 0.688 0.688 0.385
Pd 0.000 0.000 0.000
Rb 0.000 0.000 0.500
CELL_PARAMETERS angstrom
5.180 -0.379 0.270
2.053 4.771 0.270
0.746 0.453 8.248
! **Raw formation energy**: -0.851 eV/atom
! **Space group**: C2/m, No. 12
! **Total magnetic moment**: 0.075 μB/atom
! **Final energy**: -6.216 eV/atom